Entry 1:
Below is a relaxed Rb2BaNbCl6 crystal, with properties calculated at the PBE-GGA level.

Calculated values
- mass density (g/cm³) = 2.96
- formation energy without anion corrections (eV per atom) = -1.708

Unit cell a=7.871 b=7.871 c=7.871 alpha=60.00 beta=60.00 gamma=60.00
Atoms (fractional coordinates):
Rb  0.250  0.250  0.250
Rb  0.750  0.750  0.750
Ba  0.000  0.000  0.000
Nb  0.500  0.500  0.500
Cl  0.269  0.269  0.731
Cl  0.269  0.731  0.269
Cl  0.269  0.731  0.731
Cl  0.731  0.269  0.269
Cl  0.731  0.269  0.731
Cl  0.731  0.731  0.269

=====

Entry 2:
Below is a relaxed BaNb2ReCl crystal, with properties calculated at the PBE-GGA level.

Calculated values
- mass density (g/cm³) = 6.47
- formation energy without anion corrections (eV per atom) = 3.049

Unit cell a=5.246 b=5.246 c=5.078 alpha=90.00 beta=90.00 gamma=90.00
Atoms (fractional coordinates):
Ba  0.000  0.000  0.000
Nb  0.000  0.500  0.000
Nb  0.500  0.000  0.000
Re  0.000  0.000  0.500
Cl  0.500  0.500  0.500

=====

Entry 3:
Below is a relaxed BaNb2ReCl crystal, with properties calculated at the PBE-GGA level.

Calculated values
- mass density (g/cm³) = 6.40
- formation energy without anion corrections (eV per atom) = 2.986

Unit cell a=5.185 b=5.185 c=5.260 alpha=90.00 beta=90.00 gamma=90.00
Atoms (fractional coordinates):
Ba  0.000  0.000  0.000
Nb  0.000  0.500  0.000
Nb  0.500  0.000  0.000
Re  0.500  0.500  0.500
Cl  0.000  0.000  0.500

=====

Entry 4:
Below is a relaxed BaNbS2Cl crystal, with properties calculated at the PBE-GGA level.

Calculated values
- mass density (g/cm³) = 2.92
- formation energy without anion corrections (eV per atom) = 0.495

Unit cell a=5.778 b=5.778 c=5.613 alpha=90.00 beta=90.00 gamma=90.00
Atoms (fractional coordinates):
Ba  0.000  0.000  0.000
Nb  0.500  0.500  0.500
S  0.000  0.500  0.000
S  0.500  0.000  0.000
Cl  0.000  0.000  0.500

=====

Entry 5:
Below is a relaxed BaNbS2Cl crystal, with properties calculated at the PBE-GGA level.

Calculated values
- mass density (g/cm³) = 4.54
- formation energy without anion corrections (eV per atom) = -1.392

Unit cell a=4.899 b=4.899 c=5.024 alpha=90.00 beta=90.00 gamma=90.00
Atoms (fractional coordinates):
Ba  0.000  0.000  0.000
Nb  0.500  0.500  0.500
S  0.000  0.500  0.500
S  0.500  0.000  0.500
Cl  0.500  0.500  0.000

=====

Entry 6:
Below is a relaxed BaNbSb2Cl crystal, with properties calculated at the PBE-GGA level.

Calculated values
- mass density (g/cm³) = 5.51
- formation energy without anion corrections (eV per atom) = -0.616

Unit cell a=5.499 b=5.499 c=5.076 alpha=90.00 beta=90.00 gamma=90.00
Atoms (fractional coordinates):
Ba  0.000  0.000  0.000
Nb  0.500  0.500  0.500
Sb  0.000  0.500  0.500
Sb  0.500  0.000  0.500
Cl  0.500  0.500  0.000